Entry from Alexandria: a relaxed Sr2PtPb2 crystal (PBE).

The structure belongs to space group P4/mbm (No. 127); the cell edges are 7.605, 7.605 and 5.211 Å and the angles 90.00°, 90.00° and 90.00°. The asymmetric unit holds Sr at (0.168, 0.332, 0.000), Pt at (0.000, 0.000, 0.500) and Pb at (0.146, 0.646, 0.500).

The formation energy comes out at -2.29 eV/f.u. For the offset from the most stable computed form, the calculation gives 0.79 eV per formula unit.